A relaxed Ba2CaSe crystal. Source: Alexandria, functional PBE-GGA.

Geometry as POSCAR:
```
Ba2CaSe
1.0
-5.921 5.921 2.857
5.921 -5.921 2.857
5.921 5.921 -2.857
Ba Ca Se
4 2 2
Cartesian
1.270 2.960 0.714
-2.960 4.651 2.143
-1.270 8.881 0.714
2.960 7.190 2.143
5.921 0.000 1.429
0.000 0.000 2.857
0.000 0.000 0.000
0.000 5.921 1.429
```

Values from the calculation:
As for the space-group type: No. 122. As for the total moment: 0.00 μB/f.u. The energy comes out at -0.22682 Ry/atom. The formation energy without anion corrections comes out at -753.2 meV per atom.